No. 1
Here is crystalline AlSiNi2 at its relaxed geometry from the Alexandria database. Energies are from PBE.

The structure belongs to space group I-42d (No. 122); the cell edges are 6.489, 6.489 and 5.105 Å and the angles 90.00°, 90.00° and 90.00°. The distinct sites, in fractional coordinates, are Al at (0.000, 0.000, 0.000), Si at (0.000, 0.000, 0.500) and Ni at (0.211, 0.250, 0.625).



No. 2
Here is crystalline AlSiNi at its relaxed geometry from the Alexandria database. Energies are from PBE.

The structure belongs to space group P-62m (No. 189); the cell edges are 6.1044, 6.1044 and 3.7068 Å and the angles 90.00°, 90.00° and 120.00°. The distinct sites, in fractional coordinates, are Al at (0.0000, 0.5763, 0.0000), Si at (0.0000, 0.0000, 0.0000), Si at (0.3333, 0.6667, 0.5000) and Ni at (0.0000, 0.2483, 0.5000).



No. 3
Here is crystalline Al2Si2Ni at its relaxed geometry from the Alexandria database. Energies are from PBE.

The structure belongs to space group P4/mbm (No. 127); the cell edges are 6.016, 6.016 and 4.031 Å and the angles 90.00°, 90.00° and 90.00°. The distinct sites, in fractional coordinates, are Al at (0.173, 0.327, 0.000), Si at (0.140, 0.640, 0.500) and Ni at (0.000, 0.000, 0.500).



Number 1: total DFT energy (no corrections) -5.247 eV per atom, uncorrected formation energy -0.065 eV/atom. Number 2: total DFT energy (no corrections) -5.238 eV per atom, uncorrected formation energy -0.255 eV/atom. Number 3: total DFT energy (no corrections) -4.882 eV per atom, uncorrected formation energy -0.059 eV/atom.